No. 1
VASP calculation (PBE-GGA) on an optimized crystal structure of TaCdNiAu.

a = 4.542 Å, b = 4.542 Å, c = 4.542 Å
α = 60.00°, β = 60.00°, γ = 60.00°
Sites, in units of the cell vectors:
1 Ta 0.000 0.000 0.000
2 Cd 0.500 0.500 0.500
3 Ni 0.750 0.750 0.750
4 Au 0.250 0.250 0.250

## Properties
* ΔE to the lowest computed polymorph: 0.0 meV/atom
* ΔE_f: 61 meV/atom

=====

No. 2
VASP calculation (PBE-GGA) on an optimized crystal structure of HoEr2CoNi8.

a = 8.568 Å, b = 8.568 Å, c = 8.568 Å
α = 33.31°, β = 33.31°, γ = 33.31°
Sites, in units of the cell vectors:
1 Ho 0.000 0.000 0.000
2 Er 0.140 0.140 0.140
3 Er 0.860 0.860 0.860
4 Co 0.500 0.500 0.500
5 Ni 0.082 0.583 0.583
6 Ni 0.333 0.333 0.333
7 Ni 0.417 0.417 0.918
8 Ni 0.417 0.918 0.417
9 Ni 0.583 0.082 0.583
10 Ni 0.583 0.583 0.082
11 Ni 0.667 0.667 0.667
12 Ni 0.918 0.417 0.417

## Properties
* ΔE_f: -399 meV/atom

=====

No. 3
VASP calculation (PBE-GGA) on an optimized crystal structure of NaNbCuTe2S.

a = 7.593 Å, b = 7.593 Å, c = 9.906 Å
α = 90.00°, β = 90.00°, γ = 151.45°
Sites, in units of the cell vectors:
1 Na 0.223 0.777 0.750
2 Na 0.777 0.223 0.250
3 Nb 0.500 0.500 0.000
4 Nb 0.500 0.500 0.500
5 Cu 0.027 0.973 0.250
6 Cu 0.973 0.027 0.750
7 Te 0.142 0.858 0.053
8 Te 0.142 0.858 0.447
9 Te 0.858 0.142 0.553
10 Te 0.858 0.142 0.947
11 S 0.438 0.562 0.250
12 S 0.562 0.438 0.750

=====

No. 4
VASP calculation (PBE-GGA) on an optimized crystal structure of BeFeCuSb.

a = 4.213 Å, b = 4.213 Å, c = 4.213 Å
α = 60.00°, β = 60.00°, γ = 60.00°
Sites, in units of the cell vectors:
1 Be 0.000 0.000 0.000
2 Fe 0.250 0.250 0.250
3 Cu 0.750 0.750 0.750
4 Sb 0.500 0.500 0.500

## Properties
* ΔE to the lowest computed polymorph: 0.0 meV/atom

=====

No. 5
VASP calculation (PBE-GGA) on an optimized crystal structure of LuBi2Os.

a = 5.103 Å, b = 5.103 Å, c = 5.103 Å
α = 60.00°, β = 60.00°, γ = 60.00°
Sites, in units of the cell vectors:
1 Lu 0.000 0.000 0.000
2 Bi 0.250 0.250 0.250
3 Bi 0.500 0.500 0.500
4 Os 0.750 0.750 0.750

=====

No. 6
VASP calculation (PBE-GGA) on an optimized crystal structure of ThZnAu.

a = 4.680 Å, b = 4.680 Å, c = 4.680 Å
α = 60.00°, β = 60.00°, γ = 60.00°
Sites, in units of the cell vectors:
1 Th 0.000 0.000 0.000
2 Zn 0.750 0.750 0.750
3 Au 0.500 0.500 0.500

## Properties
* ΔE_f: -261 meV/atom

=====

Number 1: final energy -21.34 eV for the cell shown. Number 2: final energy -70.14 eV for the cell shown. Number 3: final energy -57.27 eV for the cell shown. Number 4: final energy -18.56 eV for the cell shown. Number 5: final energy -22.38 eV for the cell shown. Number 6: final energy -12.73 eV for the cell shown.